A) VASP calculation (GGA-PBE) on a relaxed structure of Li2LaTl.

Computed properties:
For the total moment, the calculation gives 0.000 μB/atom. As for the volume: 26.6 Å³/atom.

Lattice parameters (Å, degrees): 5.2888 3.4439 5.8515 87.24 90.00 90.00
Element x y z (fractional)
La 0.5000 0.7500 0.7500
Tl 0.5000 0.2500 0.2500
Li 0.0000 0.1309 0.0192
Li 0.0000 0.3691 0.4808



B) VASP calculation (GGA-PBE) on a relaxed structure of Li2LaTl.

Computed properties:
For the total moment, the calculation gives 0.000 μB/atom. As for the volume: 26.6 Å³/atom.

Lattice parameters (Å, degrees): 4.9447 3.5249 6.3541 74.12 90.00 90.00
Element x y z (fractional)
Li 0.0000 0.0236 0.0777
Li 0.5000 0.4385 0.2418
La 0.5000 0.7128 0.7029
Tl 0.0000 0.3251 0.4776



C) VASP calculation (GGA-PBE) on a relaxed structure of Li2LaTl.

Computed properties:
For the total moment, the calculation gives 0.074 μB/atom. As for the volume: 24.7 Å³/atom.

Lattice parameters (Å, degrees): 3.7012 3.7012 7.2153 90.00 90.00 90.00
Element x y z (fractional)
La 0.5000 0.5000 0.7500
Tl 0.5000 0.5000 0.2500
Li 0.0000 0.0000 0.4450
Li 0.0000 0.0000 0.0550



Computed relative energies in units of meV per atom: A) 23; B) 0; C) 47



A) VASP calculation (GGA-PBE) on a relaxed structure of LiLa3Tl2.

Computed properties:
For the total moment, the calculation gives 0.000 μB/atom. As for the volume: 31.8 Å³/atom.

Lattice parameters (Å, degrees): 6.8568 6.7438 9.5494 110.68 111.04 90.00
Element x y z (fractional)
Tl 0.8969 0.6285 0.2569
Tl 0.3600 0.1285 0.2569
Tl 0.1031 0.3715 0.7431
Tl 0.6400 0.8715 0.7431
La 0.0612 0.8245 0.6490
La 0.9388 0.1755 0.3510
La 0.5878 0.3245 0.6490
La 0.4122 0.6755 0.3510
La 0.5000 0.7500 0.0000
La 0.5000 0.2500 0.0000
Li 0.0000 0.7500 0.0000
Li 0.0000 0.2500 0.0000



B) VASP calculation (GGA-PBE) on a relaxed structure of LiLa3Tl2.

Computed properties:
For the total moment, the calculation gives 0.000 μB/atom. As for the volume: 31.0 Å³/atom.

Lattice parameters (Å, degrees): 5.5984 5.5984 13.7024 90.00 90.00 120.00
Element x y z (fractional)
Li 0.6667 0.3333 0.3292
Li 0.3333 0.6667 0.6708
Tl 0.0000 0.0000 0.5000
Tl 0.3333 0.6667 0.1780
Tl 0.6667 0.3333 0.8220
Tl 0.0000 0.0000 0.0000
La 0.3333 0.6667 0.9186
La 0.6667 0.3333 0.0814
La 0.0000 0.0000 0.7509
La 0.6667 0.3333 0.5799
La 0.0000 0.0000 0.2491
La 0.3333 0.6667 0.4201



Computed relative energies in units of meV per atom: A) 26; B) 0



A) VASP calculation (GGA-PBE) on a relaxed structure of LiLa3Tl.

Computed properties:
For the total moment, the calculation gives 0.000 μB/atom. As for the volume: 31.0 Å³/atom.

Lattice parameters (Å, degrees): 3.7206 5.7124 14.7409 85.00 97.25 90.00
Element x y z (fractional)
La 0.3592 0.8119 0.7183
La 0.0404 0.2329 0.0808
La 0.8372 0.3253 0.6743
La 0.9596 0.7671 0.9192
La 0.6408 0.1881 0.2817
La 0.1628 0.6747 0.3257
Li 0.2413 0.2048 0.4825
Li 0.7587 0.7952 0.5175
Tl 0.5638 0.7234 0.1275
Tl 0.4362 0.2766 0.8725



B) VASP calculation (GGA-PBE) on a relaxed structure of LiLa3Tl.

Computed properties:
For the total moment, the calculation gives 0.000 μB/atom. As for the volume: 31.2 Å³/atom.

Lattice parameters (Å, degrees): 5.3846 5.3846 5.3846 90.00 90.00 90.00
Element x y z (fractional)
Li 0.0000 0.0000 0.0000
La 0.0000 0.5000 0.0000
La 0.5000 0.0000 0.0000
La 0.0000 0.0000 0.5000
Tl 0.5000 0.5000 0.5000



Computed relative energies in units of meV per atom: A) 0; B) 352



A) VASP calculation (GGA-PBE) on a relaxed structure of Li2LaTm.

Computed properties:
For the total moment, the calculation gives 0.017 μB/atom. As for the volume: 27.1 Å³/atom.

Lattice parameters (Å, degrees): 5.3527 5.3527 5.3527 60.00 60.00 60.00
Element x y z (fractional)
Tm 0.5000 0.5000 0.5000
La 0.0000 0.0000 0.0000
Li 0.7500 0.7500 0.7500
Li 0.2500 0.2500 0.2500



B) VASP calculation (GGA-PBE) on a relaxed structure of Li2LaTm.

Computed properties:
For the total moment, the calculation gives 0.001 μB/atom. As for the volume: 26.8 Å³/atom.

Lattice parameters (Å, degrees): 3.7481 3.7481 7.6344 90.00 90.00 90.00
Element x y z (fractional)
Tm 0.5000 0.5000 0.0000
Li 0.0000 0.0000 0.7626
Li 0.0000 0.0000 0.2374
La 0.5000 0.5000 0.5000



Computed relative energies in units of meV per atom: A) 6; B) 0



A) VASP calculation (GGA-PBE) on a relaxed structure of LiLa2Tm.

Computed properties:
For the total moment, the calculation gives 0.106 μB/atom. As for the volume: 31.8 Å³/atom.

Lattice parameters (Å, degrees): 3.7486 3.7486 9.0391 90.00 90.00 90.00
Element x y z (fractional)
La 0.0000 0.0000 0.2335
La 0.0000 0.0000 0.7665
Li 0.5000 0.5000 0.0000
Tm 0.5000 0.5000 0.5000



B) VASP calculation (GGA-PBE) on a relaxed structure of LiLa2Tm.

Computed properties:
For the total moment, the calculation gives 0.000 μB/atom. As for the volume: 31.8 Å³/atom.

Lattice parameters (Å, degrees): 5.6461 5.6461 5.6461 60.00 60.00 60.00
Element x y z (fractional)
La 0.2500 0.2500 0.2500
La 0.7500 0.7500 0.7500
Li 0.5000 0.5000 0.5000
Tm 0.0000 0.0000 0.0000



Computed relative energies in units of meV per atom: A) 0; B) 48



A) VASP calculation (GGA-PBE) on a relaxed structure of LiLa2Tm.

Computed properties:
For the total moment, the calculation gives 0.000 μB/atom. As for the volume: 32.4 Å³/atom.

Lattice parameters (Å, degrees): 3.5913 3.5913 11.7811 81.23 81.23 60.00
Element x y z (fractional)
La 0.2501 0.2501 0.2498
La 0.0835 0.0835 0.7496
Li 0.4996 0.4996 0.5012
Tm 0.6669 0.6669 0.9994



B) VASP calculation (GGA-PBE) on a relaxed structure of LiLa2Tm.

Computed properties:
For the total moment, the calculation gives 0.000 μB/atom. As for the volume: 34.0 Å³/atom.

Lattice parameters (Å, degrees): 3.5334 3.5334 12.7252 82.02 82.02 60.00
Element x y z (fractional)
La 0.0897 0.0897 0.7309
La 0.9103 0.9103 0.2691
Tm 0.5000 0.5000 0.5000
Li 0.0000 0.0000 0.0000



Computed relative energies in units of meV per atom: A) 0; B) 83



A) VASP calculation (GGA-PBE) on a relaxed structure of LiLa2V.

Computed properties:
For the total moment, the calculation gives 0.542 μB/atom. As for the volume: 27.0 Å³/atom.

Lattice parameters (Å, degrees): 3.2775 3.2775 11.7446 81.98 81.98 60.00
Element x y z (fractional)
Li 0.5000 0.5000 0.5000
V 0.0000 0.0000 0.0000
La 0.0776 0.0776 0.7672
La 0.9224 0.9224 0.2328



B) VASP calculation (GGA-PBE) on a relaxed structure of LiLa2V.

Computed properties:
For the total moment, the calculation gives 0.733 μB/atom. As for the volume: 27.5 Å³/atom.

Lattice parameters (Å, degrees): 8.2890 8.2890 6.6815 51.66 51.66 90.00
Element x y z (fractional)
La 0.8750 0.8891 0.7500
La 0.6391 0.1250 0.2500
La 0.3750 0.3609 0.7500
La 0.1109 0.6250 0.2500
Li 0.5000 0.5000 0.0000
Li 0.2500 0.7500 0.5000
V 0.0000 0.0000 0.0000
V 0.7500 0.2500 0.5000



C) VASP calculation (GGA-PBE) on a relaxed structure of LiLa2V.

Computed properties:
For the total moment, the calculation gives 0.644 μB/atom. As for the volume: 26.8 Å³/atom.

Lattice parameters (Å, degrees): 5.3303 5.3303 5.3303 60.00 60.00 60.00
Element x y z (fractional)
La 0.2500 0.2500 0.2500
La 0.7500 0.7500 0.7500
Li 0.0000 0.0000 0.0000
V 0.5000 0.5000 0.5000



Computed relative energies in units of meV per atom: A) 339; B) 266; C) 0



A) VASP calculation (GGA-PBE) on a relaxed structure of Li2LaV.

Computed properties:
For the total moment, the calculation gives 0.846 μB/atom. As for the volume: 22.2 Å³/atom.

Lattice parameters (Å, degrees): 5.0068 5.0068 5.0068 60.00 60.00 60.00
Element x y z (fractional)
Li 0.2500 0.2500 0.2500
Li 0.7500 0.7500 0.7500
La 0.5000 0.5000 0.5000
V 0.0000 0.0000 0.0000



B) VASP calculation (GGA-PBE) on a relaxed structure of Li2LaV.

Computed properties:
For the total moment, the calculation gives 0.879 μB/atom. As for the volume: 24.5 Å³/atom.

Lattice parameters (Å, degrees): 4.2147 4.2147 11.4097 79.36 79.36 90.00
Element x y z (fractional)
V 0.5000 0.5000 0.0000
V 0.2500 0.7500 0.5000
La 0.7500 0.2500 0.5000
La 0.0000 0.0000 0.0000
Li 0.5620 0.6250 0.2500
Li 0.8750 0.4380 0.7500
Li 0.3750 0.8120 0.7500
Li 0.1880 0.1250 0.2500



Computed relative energies in units of meV per atom: A) 0; B) 88



A) VASP calculation (GGA-PBE) on a relaxed structure of LiLa2Y.

Computed properties:
For the total moment, the calculation gives 0.000 μB/atom. As for the volume: 32.4 Å³/atom.

Lattice parameters (Å, degrees): 6.6585 6.6585 3.5682 79.32 79.32 118.55
Element x y z (fractional)
La 0.5000 0.5000 0.0000
La 0.0000 0.0000 0.0000
Li 0.5000 0.0000 0.5000
Y 0.0000 0.5000 0.5000



B) VASP calculation (GGA-PBE) on a relaxed structure of LiLa2Y.

Computed properties:
For the total moment, the calculation gives 0.526 μB/atom. As for the volume: 31.5 Å³/atom.

Lattice parameters (Å, degrees): 5.6256 5.6256 5.6256 60.00 60.00 60.00
Element x y z (fractional)
Li 0.5000 0.5000 0.5000
La 0.2500 0.2500 0.2500
La 0.0000 0.0000 0.0000
Y 0.7500 0.7500 0.7500



C) VASP calculation (GGA-PBE) on a relaxed structure of LiLa2Y.

Computed properties:
For the total moment, the calculation gives 0.000 μB/atom. As for the volume: 32.8 Å³/atom.

Lattice parameters (Å, degrees): 5.8896 5.8896 3.7860 90.00 90.00 90.64
Element x y z (fractional)
La 0.5000 0.5000 0.0000
La 0.0000 0.0000 0.0000
Y 0.0000 0.5000 0.5000
Li 0.5000 0.0000 0.5000



D) VASP calculation (GGA-PBE) on a relaxed structure of LiLa2Y.

Computed properties:
For the total moment, the calculation gives 0.000 μB/atom. As for the volume: 32.5 Å³/atom.

Lattice parameters (Å, degrees): 3.4703 3.4703 11.8394 90.00 90.00 114.30
Element x y z (fractional)
La 0.0000 0.0000 0.9926
La 0.5000 0.5000 0.2655
Li 0.0000 0.0000 0.5072
Y 0.5000 0.5000 0.7346



Computed relative energies in units of meV per atom: A) 59; B) 99; C) 0; D) 37



A) VASP calculation (GGA-PBE) on a relaxed structure of LiLa2Y2.

Computed properties:
For the total moment, the calculation gives 0.000 μB/atom. As for the volume: 33.3 Å³/atom.

Lattice parameters (Å, degrees): 7.7719 7.7719 5.5089 90.00 90.00 90.00
Element x y z (fractional)
La 0.1345 0.3655 0.0000
La 0.6345 0.1345 0.0000
La 0.8655 0.6345 0.0000
La 0.3655 0.8655 0.0000
Y 0.8366 0.3366 0.5000
Y 0.3366 0.1634 0.5000
Y 0.6634 0.8366 0.5000
Y 0.1634 0.6634 0.5000
Li 0.5000 0.5000 0.0000
Li 0.0000 0.0000 0.0000



B) VASP calculation (GGA-PBE) on a relaxed structure of LiLa2Y2.

Computed properties:
For the total moment, the calculation gives 0.000 μB/atom. As for the volume: 33.6 Å³/atom.

Lattice parameters (Å, degrees): 7.7510 7.7510 5.5901 90.00 90.00 90.00
Element x y z (fractional)
La 0.3422 0.1578 0.5000
La 0.8422 0.3422 0.5000
La 0.6578 0.8422 0.5000
La 0.1578 0.6578 0.5000
Y 0.3530 0.8530 0.0000
Y 0.1470 0.3530 0.0000
Y 0.6470 0.1470 0.0000
Y 0.8530 0.6470 0.0000
Li 0.5000 0.5000 0.0000
Li 0.0000 0.0000 0.0000



Computed relative energies in units of meV per atom: A) 40; B) 0



A) VASP calculation (GGA-PBE) on a relaxed structure of Li2La2Y.

Computed properties:
For the total moment, the calculation gives 0.000 μB/atom. As for the volume: 29.9 Å³/atom.

Lattice parameters (Å, degrees): 5.7110 5.7110 6.1116 62.15 62.15 90.00
Element x y z (fractional)
La 0.7500 0.2500 0.5000
La 0.2500 0.7500 0.5000
Y 0.0000 0.0000 0.0000
Li 0.3816 0.3816 0.2367
Li 0.6184 0.6184 0.7633



B) VASP calculation (GGA-PBE) on a relaxed structure of Li2La2Y.

Computed properties:
For the total moment, the calculation gives 0.000 μB/atom. As for the volume: 30.0 Å³/atom.

Lattice parameters (Å, degrees): 9.0603 9.0603 3.6570 90.00 90.00 90.00
Element x y z (fractional)
La 0.3055 0.1945 0.5000
La 0.8055 0.3055 0.5000
La 0.1945 0.6945 0.5000
La 0.6945 0.8055 0.5000
Y 0.0000 0.0000 0.0000
Y 0.5000 0.5000 0.0000
Li 0.1061 0.3939 0.0000
Li 0.8939 0.6061 0.0000
Li 0.6061 0.1061 0.0000
Li 0.3939 0.8939 0.0000



Computed relative energies in units of meV per atom: A) 85; B) 0